{"formula": "CaAl2Ir2", "functional": "PBE-GGA", "state": "optimized geometry", "total_magnetization_mub_per_cell": 0.00, "final_energy_ev_per_atom": -6.165, "formation_energy_ev_per_atom": -0.724, "cell": [[4.038, 0.000, -0.870], [-0.187, 4.034, -0.870], [0.289, 0.303, 11.152]], "species": ["Ca", "Ca", "Al", "Al", "Al", "Al", "Ir", "Ir", "Ir", "Ir"], "fractional_positions": [[0.630, 0.630, 0.260], [0.370, 0.370, 0.740], [0.000, 0.500, 0.000], [0.185, 0.185, 0.371], [0.500, 0.000, 0.000], [0.815, 0.815, 0.629], [0.750, 0.250, 0.500], [0.932, 0.932, 0.864], [0.068, 0.068, 0.136], [0.250, 0.750, 0.500]]}



{"formula": "RbGaC", "functional": "PBE-GGA", "state": "optimized geometry", "total_magnetization_mub_per_cell": 0.00, "final_energy_ev_per_atom": -4.102, "formation_energy_ev_per_atom": 0.304, "cell": [[-3.185, -2.411, -1.876], [3.358, -0.311, -5.302], [3.570, -5.213, 0.635]], "species": ["C", "C", "Ga", "Ga", "Rb", "Rb"], "fractional_positions": [[0.215, 0.702, 0.663], [0.917, 0.702, 0.663], [0.566, 0.880, 0.483], [0.566, 0.524, 0.843], [0.066, 0.012, 0.968], [0.067, 0.395, 0.356]]}



{"formula": "Tb4TmHg", "functional": "PBE-GGA", "state": "optimized geometry", "total_magnetization_mub_per_cell": 0.00, "final_energy_ev_per_atom": -4.027, "polymorph_energy_mev_per_atom": 0.0, "formation_energy_ev_per_atom": -0.144, "cell": [[3.571, 0.000, 0.000], [0.000, 3.571, 0.000], [0.000, 0.000, 14.009]], "species": ["Tb", "Tb", "Tb", "Tb", "Tm", "Hg"], "fractional_positions": [[0.500, 0.500, 0.176], [0.000, 0.000, 0.645], [0.000, 0.000, 0.355], [0.500, 0.500, 0.824], [0.000, 0.000, 0.000], [0.500, 0.500, 0.500]]}



{"formula": "PmEuO3", "functional": "PBE-GGA", "state": "optimized geometry", "total_magnetization_mub_per_cell": 6.26, "final_energy_ev_per_atom": -8.416, "e_form_raw_ev_per_fu": -12.18, "cell": [[-1.897, 3.799, -1.376], [-3.280, -2.335, -1.926], [-2.359, 0.193, 3.784]], "species": ["Pm", "Eu", "O", "O", "O"], "fractional_positions": [[0.500, 0.500, 0.500], [0.000, 0.000, 0.000], [0.500, 0.500, 0.000], [0.500, 0.000, 0.500], [0.000, 0.500, 0.500]]}



{"formula": "La2ThSn3Pt4", "functional": "PBE-GGA", "state": "optimized geometry", "total_magnetization_mub_per_cell": 0.00, "final_energy_ev_per_atom": -6.276, "formation_energy_ev_per_atom": -0.931, "cell": [[-4.596, 0.738, -0.819], [0.113, -3.178, -3.497], [-2.567, -8.004, 7.191]], "species": ["La", "La", "Th", "Sn", "Sn", "Sn", "Pt", "Pt", "Pt", "Pt"], "fractional_positions": [[0.500, 0.000, 0.213], [0.000, 0.500, 0.787], [0.500, 0.500, 0.500], [0.000, 0.000, 0.500], [0.500, 0.000, 0.879], [0.000, 0.500, 0.121], [0.500, 0.500, 0.000], [0.000, 0.000, 0.000], [0.500, 0.000, 0.643], [0.000, 0.500, 0.357]]}



{"formula": "SrPtCl2", "functional": "PBE-GGA", "state": "optimized geometry", "total_magnetization_mub_per_cell": 0.78, "final_energy_ev_per_atom": -3.129, "e_form_raw_ev_per_fu": -1.10, "polymorph_energy_mev_per_atom": 1050.0, "cell": [[3.172, 5.454, 4.925], [1.657, 2.331, 7.476], [5.474, 1.864, 5.535]], "species": ["Sr", "Pt", "Cl", "Cl"], "fractional_positions": [[0.000, 0.000, 0.000], [0.500, 0.500, 0.500], [0.879, 0.879, 0.879], [0.121, 0.121, 0.121]]}



{"formula": "SbBrCl", "functional": "PBE-GGA", "state": "optimized geometry", "total_magnetization_mub_per_cell": 0.00, "final_energy_ev_per_atom": -2.749, "e_form_raw_ev_per_fu": -0.61, "polymorph_energy_mev_per_atom": 386.3, "cell": [[4.988, 0.000, 0.000], [2.494, 4.319, 0.000], [2.494, 1.440, 4.072]], "species": ["Sb", "Br", "Cl"], "fractional_positions": [[0.750, 0.750, 0.750], [0.000, 0.000, 0.000], [0.500, 0.500, 0.500]]}



{"formula": "InHRh3", "functional": "PBE-GGA", "state": "optimized geometry", "total_magnetization_mub_per_cell": 0.00, "final_energy_ev_per_atom": -4.892, "polymorph_energy_mev_per_atom": 940.1, "cell": [[4.569, 0.000, 0.000], [0.000, 4.569, 0.000], [2.285, 2.285, 9.920]], "species": ["H", "H", "Rh", "Rh", "Rh", "Rh", "Rh", "Rh", "In", "In"], "fractional_positions": [[0.644, 0.144, 0.712], [0.856, 0.356, 0.288], [0.631, 0.876, 0.248], [0.124, 0.369, 0.752], [0.124, 0.879, 0.752], [0.121, 0.876, 0.248], [0.347, 0.347, 0.306], [0.653, 0.653, 0.694], [0.000, 0.000, 0.000], [0.250, 0.750, 0.500]]}